## A
Compound: TlBO2
Source: Alexandria via LeMat-Bulk
Functional: meta-GGA SCAN
Structure: single point on PBEsol structure

Output
- Calculated density: 6.51 g/cm3

a = 7.336 Å, b = 7.336 Å, c = 9.379 Å
α = 90.00°, β = 90.00°, γ = 90.00°
Space group P4_1 (No. 76)
Unique sites:
Tl 0.023 0.747 0.000 x4
Tl 0.264 0.270 0.837 x4
B 0.132 0.456 0.263 x4
B 0.403 0.548 0.115 x4
O 0.050 0.563 0.784 x4
O 0.207 0.502 0.132 x4
O 0.251 0.424 0.378 x4
O 0.461 0.486 0.974 x4



## B
Compound: TlBO2
Source: Alexandria via LeMat-Bulk
Functional: meta-GGA SCAN
Structure: single point on PBEsol structure

Output
- Calculated density: 4.97 g/cm3

a = 4.1148 Å, b = 4.1148 Å, c = 16.8984 Å
α = 90.00°, β = 90.00°, γ = 120.00°
Space group R-3m (No. 166, hexagonal axes)
Unique sites:
Tl 0.0000 0.0000 0.0000 x3
B 0.0000 0.0000 0.5000 x3
O 0.0000 0.0000 0.4249 x6



The structure with the greatest stability is A.



## A
Compound: B3OsPt
Source: Alexandria via LeMat-Bulk
Functional: meta-GGA SCAN
Structure: single point on PBEsol structure

Output
- Calculated density: 10.92 g/cm3

a = 3.990 Å, b = 3.990 Å, c = 3.990 Å
α = 90.00°, β = 90.00°, γ = 90.00°
Space group Pm-3m (No. 221)
Unique sites:
B 0.000 0.000 0.500 x3
Os 0.500 0.500 0.500 x1
Pt 0.000 0.000 0.000 x1



## B
Compound: B3OsPt
Source: Alexandria via LeMat-Bulk
Functional: meta-GGA SCAN
Structure: single point on PBEsol structure

Output
- Calculated density: 10.66 g/cm3

a = 4.023 Å, b = 4.023 Å, c = 4.023 Å
α = 90.00°, β = 90.00°, γ = 90.00°
Space group Pm-3m (No. 221)
Unique sites:
B 0.000 0.000 0.500 x3
Os 0.000 0.000 0.000 x1
Pt 0.500 0.500 0.500 x1



The structure with the greatest stability is B.



## A
Compound: ScB2Os
Source: Alexandria via LeMat-Bulk
Functional: meta-GGA SCAN
Structure: single point on PBEsol structure

Output
- Calculated density: 7.56 g/cm3

a = 4.017 Å, b = 4.017 Å, c = 13.990 Å
α = 90.00°, β = 90.00°, γ = 90.00°
Space group I4_1/amd (No. 141, origin choice 2)
Unique sites:
Sc 0.000 0.250 0.375 x4
B 0.000 0.000 0.000 x8
Os 0.000 0.250 0.875 x4



## B
Compound: ScB2Os
Source: Alexandria via LeMat-Bulk
Functional: meta-GGA SCAN
Structure: single point on PBEsol structure

Output
- Calculated density: 9.58 g/cm3

a = 5.611 Å, b = 5.167 Å, c = 6.138 Å
α = 90.00°, β = 90.00°, γ = 90.00°
Space group Pnma (No. 62)
Unique sites:
Sc 0.010 0.250 0.171 x4
B 0.146 0.580 0.467 x8
Os 0.177 0.250 0.680 x4



The structure with the greatest stability is B.



## A
Compound: BOs3Se
Source: Alexandria via LeMat-Bulk
Functional: meta-GGA SCAN
Structure: single point on PBEsol structure

Output
- Calculated density: 12.24 g/cm3

a = 4.475 Å, b = 4.475 Å, c = 4.475 Å
α = 90.00°, β = 90.00°, γ = 90.00°
Space group Pm-3m (No. 221)
Unique sites:
B 0.000 0.000 0.000 x1
Os 0.000 0.500 0.500 x3
Se 0.500 0.500 0.500 x1



## B
Compound: BOs3Se
Source: Alexandria via LeMat-Bulk
Functional: meta-GGA SCAN
Structure: single point on PBEsol structure

Output
- Calculated density: 15.86 g/cm3

a = 4.104 Å, b = 4.104 Å, c = 4.104 Å
α = 90.00°, β = 90.00°, γ = 90.00°
Space group Pm-3m (No. 221)
Unique sites:
B 0.000 0.000 0.000 x1
Os 0.000 0.000 0.500 x3
Se 0.500 0.500 0.500 x1



The structure with the greatest stability is B.



## A
Compound: BTeOs3
Source: Alexandria via LeMat-Bulk
Functional: meta-GGA SCAN
Structure: single point on PBEsol structure

Output
- Calculated density: 16.34 g/cm3

a = 4.161 Å, b = 4.161 Å, c = 4.161 Å
α = 90.00°, β = 90.00°, γ = 90.00°
Space group Pm-3m (No. 221)
Unique sites:
B 0.000 0.000 0.000 x1
Te 0.500 0.500 0.500 x1
Os 0.000 0.000 0.500 x3



## B
Compound: BTeOs3
Source: Alexandria via LeMat-Bulk
Functional: meta-GGA SCAN
Structure: single point on PBEsol structure

Output
- Calculated density: 10.79 g/cm3

a = 4.779 Å, b = 4.779 Å, c = 4.779 Å
α = 90.00°, β = 90.00°, γ = 90.00°
Space group Pm-3m (No. 221)
Unique sites:
B 0.000 0.000 0.000 x1
Te 0.500 0.500 0.500 x1
Os 0.000 0.500 0.500 x3



The structure with the greatest stability is A.



## A
Compound: BP2S2
Source: Alexandria via LeMat-Bulk
Functional: meta-GGA SCAN
Structure: single point on PBEsol structure

Output
- Calculated density: 2.65 g/cm3

a = 4.401 Å, b = 4.401 Å, c = 4.431 Å
α = 90.00°, β = 90.00°, γ = 90.00°
Space group P4/mmm (No. 123)
Unique sites:
B 0.000 0.000 0.000 x1
P 0.500 0.500 0.000 x1
P 0.500 0.500 0.500 x1
S 0.000 0.500 0.500 x2



## B
Compound: BP2S2
Source: Alexandria via LeMat-Bulk
Functional: meta-GGA SCAN
Structure: single point on PBEsol structure

Output
- Calculated density: 2.59 g/cm3

a = 4.404 Å, b = 4.404 Å, c = 4.527 Å
α = 90.00°, β = 90.00°, γ = 90.00°
Space group P4/mmm (No. 123)
Unique sites:
B 0.000 0.000 0.000 x1
P 0.000 0.500 0.500 x2
S 0.500 0.500 0.000 x1
S 0.500 0.500 0.500 x1



The structure with the greatest stability is A.



## A
Compound: RbB2Se2
Source: Alexandria via LeMat-Bulk
Functional: meta-GGA SCAN
Structure: single point on PBEsol structure

Output
- Calculated density: 5.24 g/cm3

a = 4.605 Å, b = 4.605 Å, c = 7.923 Å
α = 90.00°, β = 90.00°, γ = 90.00°
Space group I4/mmm (No. 139)
Unique sites:
Rb 0.000 0.000 0.000 x2
B 0.000 0.000 0.382 x4
Se 0.000 0.500 0.250 x4



## B
Compound: RbB2Se2
Source: Alexandria via LeMat-Bulk
Functional: meta-GGA SCAN
Structure: single point on PBEsol structure

Output
- Calculated density: 4.22 g/cm3

a = 7.416 Å, b = 7.416 Å, c = 3.792 Å
α = 90.00°, β = 90.00°, γ = 90.00°
Space group P4/mbm (No. 127)
Unique sites:
Rb 0.000 0.000 0.000 x2
B 0.079 0.421 0.000 x4
Se 0.120 0.620 0.500 x4



The structure with the greatest stability is A.



## A
Compound: BSbRu3
Source: Alexandria via LeMat-Bulk
Functional: meta-GGA SCAN
Structure: single point on PBEsol structure

Output
- Calculated density: 6.73 g/cm3

a = 4.755 Å, b = 4.755 Å, c = 4.755 Å
α = 90.00°, β = 90.00°, γ = 90.00°
Space group Pm-3m (No. 221)
Unique sites:
B 0.000 0.000 0.000 x1
Sb 0.500 0.500 0.500 x1
Ru 0.000 0.500 0.500 x3



## B
Compound: BSbRu3
Source: Alexandria via LeMat-Bulk
Functional: meta-GGA SCAN
Structure: single point on PBEsol structure

Output
- Calculated density: 10.68 g/cm3

a = 4.076 Å, b = 4.076 Å, c = 4.076 Å
α = 90.00°, β = 90.00°, γ = 90.00°
Space group Pm-3m (No. 221)
Unique sites:
B 0.000 0.000 0.000 x1
Sb 0.500 0.500 0.500 x1
Ru 0.000 0.000 0.500 x3



The structure with the greatest stability is B.